Material: KCd
Method: DFT, GGA-PBE
State: relaxed

The space group is P-6m2 (No. 187) and the conventional cell measures 4.0097, 4.0097 and 5.8210 Å, with angles of 90.00, 90.00 and 120.00 degrees. The asymmetric unit holds K at (0.0000, 0.0000, 0.0000) and Cd at (0.3333, 0.6667, 0.5000).

The value obtained for the formation energy is 89 meV per atom. For the total magnetization, the calculation gives 0.00 μB/f.u.

Material: KCd
Method: DFT, GGA-PBE
State: relaxed

The space group is Pmma (No. 51) and the conventional cell measures 5.4096, 4.2296 and 6.9893 Å, with angles of 90.00, 90.00 and 90.00 degrees. The asymmetric unit holds K at (0.2500, 0.0000, 0.1982) and Cd at (0.2500, 0.5000, 0.6138).

The value obtained for the formation energy is -22 meV per atom. For the total magnetization, the calculation gives 0.00 μB/f.u.

Material: KCd
Method: DFT, GGA-PBE
State: relaxed

The space group is P2_1/m (No. 11) and the conventional cell measures 4.9819, 5.1966 and 6.9272 Å, with angles of 90.00, 110.71 and 90.00 degrees. The asymmetric unit holds K at (0.1496, 0.2500, 0.3008) and Cd at (0.4459, 0.2500, 0.8901).

The value obtained for the formation energy is -61 meV per atom. For the total magnetization, the calculation gives 0.00 μB/f.u.

Material: K2Cd
Method: DFT, GGA-PBE
State: relaxed

The space group is P6/mmm (No. 191) and the conventional cell measures 6.2738, 6.2738 and 3.8810 Å, with angles of 90.00, 90.00 and 120.00 degrees. The asymmetric unit holds K at (0.3333, 0.6667, 0.0000) and Cd at (0.0000, 0.0000, 0.5000).

The value obtained for the formation energy is 76 meV per atom. For the total magnetization, the calculation gives 0.00 μB/f.u. The energy above the lowest structure with this stoichiometry is 0.1068 eV per atom.

Material: K23Cd6
Method: DFT, GGA-PBE
State: relaxed

The space group is Fm-3m (No. 225) and the conventional cell measures 18.9244, 18.9244 and 18.9244 Å, with angles of 90.00, 90.00 and 90.00 degrees. The asymmetric unit holds K at (0.0000, 0.0000, 0.0000), K at (0.0000, 0.1709, 0.1709), K at (0.1136, 0.1136, 0.3864), K at (0.2500, 0.2500, 0.2500) and Cd at (0.0000, 0.0000, 0.2645).

The value obtained for the formation energy is -13 meV per atom. For the total magnetization, the calculation gives 0.00 μB/f.u.

Material: K2Cd
Method: DFT, GGA-PBE
State: relaxed

The space group is I4_1/amd (No. 141, origin choice 2) and the conventional cell measures 4.2348, 4.2348 and 33.7419 Å, with angles of 90.00, 90.00 and 90.00 degrees. The asymmetric unit holds K at (0.0000, 0.2500, 0.3091) and Cd at (0.0000, 0.2500, 0.8750).

The value obtained for the formation energy is 8 meV per atom. For the total magnetization, the calculation gives 0.00 μB/f.u. The energy above the lowest structure with this stoichiometry is 0.0391 eV per atom.

We obtain uncorrected energy values of -0.034 -0.038 -0.039 -0.035 -0.039 -0.038 Ha/atom for the records listed above, in that order.